Entry 1:
Crystalline SmHSO5 at its relaxed geometry, computed with PBEsol.

Its total energy is -7.025 eV per atom.

Structure (CIF):
```
data_SmHSO5
_cell_length_a 4.425
_cell_length_b 12.268
_cell_length_c 6.912
_cell_angle_alpha 90.00
_cell_angle_beta 111.32
_cell_angle_gamma 90.00
_space_group_name_H-M_alt 'P 1 21/c 1'
_space_group_IT_number 14
_space_group_name_Hall '-P 2ybc'
loop_
_atom_site_label
_atom_site_type_symbol
_atom_site_fract_x
_atom_site_fract_y
_atom_site_fract_z
_atom_site_occupancy
Sm1 Sm 0.166 0.062 0.303 1
H1 H 0.212 0.657 0.978 1
S1 S 0.410 0.147 0.888 1
O1 O 0.199 0.068 0.951 1
O2 O 0.231 0.249 0.821 1
O3 O 0.235 0.585 0.043 1
O4 O 0.290 0.666 0.435 1
O5 O 0.475 0.097 0.711 1
```



Entry 2:
Crystalline ThH2SO6 at its relaxed geometry, computed with PBEsol.

Its total energy is -7.142 eV per atom.

Structure (CIF):
```
data_ThH2SO6
_cell_length_a 11.613
_cell_length_b 6.019
_cell_length_c 7.093
_cell_angle_alpha 90.00
_cell_angle_beta 90.00
_cell_angle_gamma 90.00
_space_group_name_H-M_alt 'P n m a'
_space_group_IT_number 62
_space_group_name_Hall '-P 2ac 2n'
loop_
_atom_site_label
_atom_site_type_symbol
_atom_site_fract_x
_atom_site_fract_y
_atom_site_fract_z
_atom_site_occupancy
Th1 Th 0.062 0.250 0.149 1
H1 H 0.166 0.518 0.838 1
S1 S 0.140 0.750 0.449 1
O1 O 0.025 0.750 0.537 1
O2 O 0.090 0.503 0.900 1
O3 O 0.156 0.549 0.330 1
O4 O 0.229 0.750 0.599 1
```



Entry 3:
Crystalline VH10SO10 at its relaxed geometry, computed with PBEsol.

For the polymorph energy (0 for the lowest one), the calculation gives 5.5 meV per atom.

Structure (CIF):
```
data_VH10SO10
_cell_length_a 7.166
_cell_length_b 9.213
_cell_length_c 6.093
_cell_angle_alpha 90.00
_cell_angle_beta 90.00
_cell_angle_gamma 90.00
_space_group_name_H-M_alt 'P m n 21'
_space_group_IT_number 31
_space_group_name_Hall 'P 2ac -2'
loop_
_atom_site_label
_atom_site_type_symbol
_atom_site_fract_x
_atom_site_fract_y
_atom_site_fract_z
_atom_site_occupancy
V1 V 0.000 0.218 0.000 1
H1 H 0.111 0.322 0.414 1
H2 H 0.155 0.992 0.188 1
H3 H 0.179 0.471 0.996 1
H4 H 0.187 0.876 0.699 1
H5 H 0.240 0.638 0.310 1
S1 S 0.000 0.741 0.031 1
O1 O 0.000 0.166 0.750 1
O2 O 0.000 0.336 0.319 1
O3 O 0.000 0.810 0.811 1
O4 O 0.000 0.849 0.209 1
O5 O 0.170 0.647 0.053 1
O6 O 0.193 0.089 0.131 1
O7 O 0.205 0.367 0.961 1
```



Entry 4:
Crystalline VH6SO8 at its relaxed geometry, computed with PBEsol.

Its total energy is -6.120 eV per atom.

Structure (CIF):
```
data_VH6SO8
_cell_length_a 7.584
_cell_length_b 7.438
_cell_length_c 11.623
_cell_angle_alpha 90.00
_cell_angle_beta 110.47
_cell_angle_gamma 90.00
_space_group_name_H-M_alt 'P 1 21/c 1'
_space_group_IT_number 14
_space_group_name_Hall '-P 2ybc'
loop_
_atom_site_label
_atom_site_type_symbol
_atom_site_fract_x
_atom_site_fract_y
_atom_site_fract_z
_atom_site_occupancy
V1 V 0.205 0.226 0.126 1
H1 H 0.011 0.009 0.390 1
H2 H 0.164 0.528 0.244 1
H3 H 0.250 0.117 0.397 1
H4 H 0.294 0.520 0.013 1
H5 H 0.434 0.748 0.836 1
H6 H 0.471 0.716 0.710 1
S1 S 0.246 0.640 0.486 1
O1 O 0.056 0.683 0.489 1
O2 O 0.117 0.038 0.663 1
O3 O 0.210 0.117 0.246 1
O4 O 0.218 0.088 0.473 1
O5 O 0.251 0.654 0.361 1
O6 O 0.298 0.047 0.033 1
O7 O 0.383 0.732 0.067 1
O8 O 0.475 0.191 0.698 1
```



Entry 5:
Crystalline VH10SO10 at its relaxed geometry, computed with PBEsol.

For the polymorph energy (0 for the lowest one), the calculation gives 0.0 meV per atom.

Structure (CIF):
```
data_VH10SO10
_cell_length_a 6.919
_cell_length_b 9.659
_cell_length_c 12.712
_cell_angle_alpha 90.00
_cell_angle_beta 112.94
_cell_angle_gamma 90.00
_space_group_name_H-M_alt 'P 1 21/c 1'
_space_group_IT_number 14
_space_group_name_Hall '-P 2ybc'
loop_
_atom_site_label
_atom_site_type_symbol
_atom_site_fract_x
_atom_site_fract_y
_atom_site_fract_z
_atom_site_occupancy
V1 V 0.162 0.224 0.351 1
H1 H 0.085 0.562 0.632 1
H2 H 0.106 0.731 0.900 1
H3 H 0.123 0.653 0.062 1
H4 H 0.129 0.008 0.848 1
H5 H 0.196 0.605 0.200 1
H6 H 0.265 0.150 0.060 1
H7 H 0.266 0.536 0.926 1
H8 H 0.333 0.191 0.597 1
H9 H 0.335 0.736 0.007 1
H10 H 0.404 0.011 0.355 1
S1 S 0.493 0.057 0.823 1
O1 O 0.046 0.089 0.856 1
O2 O 0.062 0.204 0.213 1
O3 O 0.076 0.632 0.127 1
O4 O 0.209 0.678 0.968 1
O5 O 0.258 0.247 0.031 1
O6 O 0.288 0.520 0.605 1
O7 O 0.321 0.049 0.398 1
O8 O 0.348 0.553 0.326 1
O9 O 0.443 0.189 0.871 1
O10 O 0.470 0.082 0.704 1
```



Entry 6:
Crystalline V3Zn7H3SO19 at its relaxed geometry, computed with PBEsol.

Its total energy is -6.357 eV per atom.

Structure (CIF):
```
data_V3Zn7H3SO19
_cell_length_a 12.7302
_cell_length_b 12.7302
_cell_length_c 5.1689
_cell_angle_alpha 90.00
_cell_angle_beta 90.00
_cell_angle_gamma 120.00
_space_group_name_H-M_alt 'P 63 m c'
_space_group_IT_number 186
_space_group_name_Hall 'P 6c -2c'
loop_
_atom_site_label
_atom_site_type_symbol
_atom_site_fract_x
_atom_site_fract_y
_atom_site_fract_z
_atom_site_occupancy
V1 V 0.1511 0.3022 0.0000 1
Zn1 Zn 0.0000 0.0000 0.2927 1
Zn2 Zn 0.0789 0.4254 0.4747 1
H1 H 0.1307 0.5653 0.0885 1
S1 S 0.3333 0.6667 0.7214 1
O1 O 0.0552 0.5276 0.1909 1
O2 O 0.0674 0.3471 0.8188 1
O3 O 0.0743 0.1486 0.0428 1
O4 O 0.1920 0.3840 0.2886 1
O5 O 0.2064 0.6032 0.6172 1
O6 O 0.3333 0.6667 0.0031 1
```



Entry 7:
Crystalline YH5S3O13 at its relaxed geometry, computed with PBEsol.

Its total energy is -6.336 eV per atom.

Structure (CIF):
```
data_YH5S3O13
_cell_length_a 6.783
_cell_length_b 7.978
_cell_length_c 9.503
_cell_angle_alpha 81.68
_cell_angle_beta 78.71
_cell_angle_gamma 77.56
_space_group_name_H-M_alt 'P -1'
_space_group_IT_number 2
_space_group_name_Hall '-P 1'
loop_
_atom_site_label
_atom_site_type_symbol
_atom_site_fract_x
_atom_site_fract_y
_atom_site_fract_z
_atom_site_occupancy
Y1 Y 0.139 0.186 0.197 1
H1 H 0.037 0.264 0.691 1
H2 H 0.208 0.444 0.367 1
H3 H 0.399 0.292 0.388 1
H4 H 0.439 0.644 0.124 1
H5 H 0.489 0.351 0.617 1
S1 S 0.191 0.381 0.819 1
S2 S 0.217 0.798 0.453 1
S3 S 0.306 0.833 0.961 1
O1 O 0.050 0.534 0.769 1
O2 O 0.108 0.850 0.591 1
O3 O 0.122 0.677 0.395 1
O4 O 0.157 0.228 0.752 1
O5 O 0.165 0.342 0.974 1
O6 O 0.176 0.811 0.863 1
O7 O 0.206 0.967 0.055 1
O8 O 0.259 0.942 0.345 1
O9 O 0.270 0.324 0.348 1
O10 O 0.333 0.657 0.057 1
O11 O 0.409 0.396 0.763 1
O12 O 0.429 0.691 0.482 1
O13 O 0.493 0.140 0.115 1
```